Here is a relaxed CoAgSnPt crystal from OQMD. Energies are from GGA-PBE.

```
4
Lattice="0.000 3.192 3.192 3.192 0.000 3.192 3.192 3.192 0.000" Properties=species:S:1:pos:R:3 pbc="T T T"
Ag 3.192 3.192 3.192
Co 4.787 4.787 4.787
Pt 1.596 1.596 1.596
Sn 0.000 0.000 0.000
```

Energy above the most stable polymorph in this dataset = 0.00 eV per formula unit


Here is a relaxed PrTm crystal from OQMD. Energies are from GGA-PBE.

```
2
Lattice="-1.690 -2.235 3.632 -2.471 2.258 3.137 -4.514 -0.747 0.337" Properties=species:S:1:pos:R:3 pbc="T T T"
Pr 0.000 0.000 0.000
Tm -4.337 -0.362 3.553
```

DFT formation energy = 0.669 eV/atom
Energy above the most stable polymorph in this dataset = 1.24 eV per formula unit


Here is a relaxed Pr2NdAgHg3Ir2 crystal from OQMD. Energies are from GGA-PBE.

```
9
Lattice="-2.161 0.378 -3.236 -3.233 -7.077 1.332 -3.353 6.487 2.998" Properties=species:S:1:pos:R:3 pbc="T T T"
Ag -0.002 0.000 0.001
Hg -1.949 -1.700 -1.259
Hg -1.981 1.920 -0.814
Hg -5.901 -0.243 1.551
Ir -4.350 -2.358 0.268
Ir -4.390 2.147 0.822
Nd -2.714 -0.243 1.784
Pr -1.902 -4.163 0.783
Pr -1.972 3.816 1.763
```

DFT formation energy = -0.475 eV/atom


Here is a relaxed SmAs2O crystal from OQMD. Energies are from GGA-PBE.

```
8
Lattice="-1.068 -3.352 2.436 4.136 -0.704 0.845 -0.528 5.193 6.915" Properties=species:S:1:pos:R:3 pbc="T T T"
As 2.133 -1.391 4.660
As -0.031 -0.094 5.496
As 2.571 1.230 4.700
As 0.407 2.527 5.536
O 0.233 -2.690 2.038
O 2.835 -1.366 1.242
Sm 0.706 -0.417 1.615
Sm 1.833 1.554 8.581
```

Energy above the most stable polymorph in this dataset = 0.00 eV per formula unit


Here is a relaxed Lu2HfAu crystal from OQMD. Energies are from GGA-PBE.

```
4
Lattice="0.000 3.557 3.557 3.557 0.000 3.557 3.557 3.557 0.000" Properties=species:S:1:pos:R:3 pbc="T T T"
Au 5.336 5.336 5.336
Hf 3.557 3.557 3.557
Lu 0.000 0.000 0.000
Lu 1.779 1.779 1.779
```

DFT formation energy = -0.022 eV/atom


Here is a relaxed TaNb crystal from OQMD. Energies are from GGA-PBE.

```
2
Lattice="0.875 -4.035 -0.932 -3.060 -2.921 0.161 -1.479 -1.715 -3.576" Properties=species:S:1:pos:R:3 pbc="T T T"
Nb 0.000 0.000 0.000
Ta -0.916 -2.168 -1.087
```

DFT formation energy = 2.716 eV/atom
Energy above the most stable polymorph in this dataset = 5.43 eV per formula unit


Here is a relaxed Tl2CuAgI6 crystal from OQMD. Energies are from GGA-PBE.

```
10
Lattice="5.303 -5.653 0.000 5.303 5.653 0.000 -2.821 0.000 7.264" Properties=species:S:1:pos:R:3 pbc="T T T"
Ag 0.003 0.000 0.001
Cu -1.411 0.000 3.634
I 3.307 0.000 1.162
I 4.554 -3.759 1.943
I 4.554 3.759 1.943
I 3.231 -3.760 5.323
I 3.231 3.760 5.323
I 4.478 0.000 6.098
Tl 6.423 0.000 1.992
Tl 1.363 0.000 5.268
```


Here is a relaxed HfBe2Hg crystal from OQMD. Energies are from GGA-PBE.

```
4
Lattice="0.000 3.160 3.160 3.160 0.000 3.160 3.160 3.160 0.000" Properties=species:S:1:pos:R:3 pbc="T T T"
Be 0.000 0.000 0.000
Be 1.580 1.580 1.580
Hf 3.160 3.160 3.160
Hg 4.740 4.740 4.740
```


Here is a relaxed Ni2Se3 crystal from OQMD. Energies are from GGA-PBE.

```
20
Lattice="0.000 5.043 10.515 3.534 0.000 10.515 3.534 5.043 0.000" Properties=species:S:1:pos:R:3 pbc="T T T"
Ni 3.534 5.043 19.347
Ni 1.767 2.521 6.941
Ni 3.534 5.043 15.671
Ni 1.767 2.521 3.574
Ni 5.301 7.564 20.929
Ni 3.534 5.043 5.359
Ni 3.534 5.043 1.683
Ni 5.301 7.564 10.617
Se 0.085 2.521 5.258
Se 1.640 5.196 14.152
Se 3.661 2.368 12.137
Se 1.682 5.043 10.515
Se 3.407 2.368 8.894
Se 1.640 4.889 6.879
Se 3.449 2.521 5.258
Se 5.428 4.889 14.152
Se 3.407 7.718 12.137
Se 5.385 5.043 10.515
Se 3.661 7.718 8.894
Se 5.428 5.196 6.879
```


Here is a relaxed Li2ZnSi crystal from OQMD. Energies are from GGA-PBE.

```
8
Lattice="-2.078 -2.877 -2.275 4.048 -0.625 0.999 -2.092 -3.475 6.305" Properties=species:S:1:pos:R:3 pbc="T T T"
Li 1.831 -1.667 0.436
Li 1.135 -2.822 2.531
Li -1.257 -4.155 2.497
Li -1.953 -5.310 4.592
Si 0.000 0.000 0.000
Si -1.046 -1.737 3.152
Zn -0.559 -2.995 0.392
Zn 0.437 -3.982 4.636
```


Here is a relaxed CsScIr crystal from OQMD. Energies are from GGA-PBE.

```
3
Lattice="-1.455 -0.303 4.537 0.796 3.620 3.008 -3.643 2.683 1.523" Properties=species:S:1:pos:R:3 pbc="T T T"
Cs 0.000 0.000 0.000
Ir -1.075 1.500 2.267
Sc -3.226 4.500 6.801
```

Energy above the most stable polymorph in this dataset = 2.50 eV per formula unit


Here is a relaxed Lu4Nb2Cd3C3 crystal from OQMD. Energies are from GGA-PBE.

```
24
Lattice="-5.060 0.426 2.920 -2.549 -4.816 2.151 10.455 3.365 11.215" Properties=species:S:1:pos:R:3 pbc="T T T"
C -2.530 0.213 1.460
C -4.958 -1.328 3.101
C 1.426 1.023 7.930
C 3.953 -0.725 6.683
C 1.421 -2.047 8.357
C 7.805 0.304 13.186
Cd -2.149 -2.329 5.983
Cd -2.118 0.581 5.623
Cd 0.091 -1.053 4.598
Cd 2.756 0.028 11.689
Cd 4.964 -1.606 10.664
Cd 4.995 1.305 10.304
Lu -5.289 -2.693 5.083
Lu -0.120 0.162 1.658
Lu -2.616 -2.130 9.129
Lu 2.459 0.924 5.733
Lu 0.388 -1.949 10.553
Lu 5.462 1.105 7.158
Lu 2.967 -1.187 14.629
Lu 8.136 1.669 11.204
Nb -2.815 -1.213 3.056
Nb -0.013 -0.561 7.761
Nb 2.860 -0.464 8.526
Nb 5.661 0.189 13.231
```


Here is a relaxed GdHgBi crystal from OQMD. Energies are from GGA-PBE.

```
3
Lattice="-3.558 -3.584 -1.344 -2.326 -2.883 3.686 -5.044 0.774 1.127" Properties=species:S:1:pos:R:3 pbc="T T T"
Bi 0.000 0.000 0.000
Gd -2.732 -1.423 0.867
Hg -8.196 -4.270 2.602
```

Energy above the most stable polymorph in this dataset = 0.91 eV per formula unit


Here is a relaxed NaPm3Pt8 crystal from OQMD. Energies are from GGA-PBE.

```
12
Lattice="4.887 -7.498 3.132 5.021 -3.746 7.118 0.592 -6.901 6.475" Properties=species:S:1:pos:R:3 pbc="T T T"
Na 1.345 -2.324 2.142
Pm 0.069 -0.120 0.110
Pm 5.188 -8.967 8.265
Pm 6.534 -11.293 10.409
Pt 5.615 -6.738 6.153
Pt 3.176 -3.013 4.617
Pt 3.109 -4.897 2.615
Pt 3.279 -5.668 5.224
Pt 3.380 -8.330 5.828
Pt 3.447 -6.437 7.840
Pt 0.952 -4.597 4.295
Pt 8.526 -14.736 13.582
```


Here is a relaxed Ba2AgH6 crystal from OQMD. Energies are from GGA-PBE.

```
9
Lattice="-0.744 -5.131 -2.118 2.828 3.852 -2.921 3.879 -1.368 1.951" Properties=species:S:1:pos:R:3 pbc="T T T"
Ag 0.000 0.000 0.000
Ba 1.484 -2.503 -1.863
Ba 4.478 -0.144 -1.224
H 1.702 0.127 -0.906
H 3.097 2.027 -2.346
H 2.730 -0.504 -3.391
H 3.232 -2.143 0.303
H 2.865 -4.674 -0.741
H 4.260 -2.774 -2.182
```


Here is a relaxed PrNd2Si4Pt2Au2 crystal from OQMD. Energies are from GGA-PBE.

```
11
Lattice="-2.129 2.142 12.372 2.129 -2.142 12.372 2.129 2.142 -12.372" Properties=species:S:1:pos:R:3 pbc="T T T"
Au 0.000 2.142 9.943
Au 2.129 0.000 2.428
Nd 0.000 2.142 3.696
Nd 2.129 0.000 8.676
Pr 0.000 0.000 0.000
Pt 0.000 0.000 6.171
Pt 0.000 0.000 18.573
Si 0.000 0.000 11.178
Si 0.000 0.000 13.565
Si 0.000 2.142 7.464
Si 2.129 0.000 4.908
```


Here is a relaxed NaLuTa crystal from OQMD. Energies are from GGA-PBE.

```
3
Lattice="-0.690 -3.170 3.888 -4.235 -2.761 0.295 0.182 -5.005 -0.750" Properties=species:S:1:pos:R:3 pbc="T T T"
Lu -1.186 -2.734 0.858
Na -3.557 -8.201 2.575
Ta 0.000 0.000 0.000
```

Energy above the most stable polymorph in this dataset = 0.00 eV per formula unit


Here is a relaxed BeCoGePt crystal from OQMD. Energies are from GGA-PBE.

```
4
Lattice="0.026 -4.112 0.489 -0.829 -1.650 3.706 -3.554 -2.035 0.612" Properties=species:S:1:pos:R:3 pbc="T T T"
Be -1.089 -1.949 1.202
Co -3.267 -5.848 3.606
Ge 0.000 0.000 0.000
Pt -2.178 -3.898 2.404
```

Energy above the most stable polymorph in this dataset = 0.93 eV per formula unit


Here is a relaxed CsKBiAu crystal from OQMD. Energies are from GGA-PBE.

```
4
Lattice="1.476 2.615 4.934 -1.383 5.542 0.857 -4.067 1.399 3.856" Properties=species:S:1:pos:R:3 pbc="T T T"
Au -2.980 7.167 7.235
Bi -1.987 4.778 4.824
Cs 0.000 0.000 0.000
K -0.993 2.389 2.412
```

Energy above the most stable polymorph in this dataset = 1.12 eV per formula unit


Here is a relaxed LuNiPb2 crystal from OQMD. Energies are from GGA-PBE.

```
4
Lattice="1.372 1.849 4.586 -0.912 4.914 1.163 -3.593 1.193 3.465" Properties=species:S:1:pos:R:3 pbc="T T T"
Lu -1.566 3.978 4.607
Ni -0.783 1.989 2.304
Pb 0.000 0.000 0.000
Pb -2.349 5.967 6.911
```

Energy above the most stable polymorph in this dataset = 0.00 eV per formula unit


no.,final energy (eV per atom)
1,-5.0012
2,-3.9561
3,-4.4462
4,-6.0716
5,-5.5891
6,-8.2575
7,-2.3083
8,-4.0468
9,-4.5442
10,-2.5938
11,-3.8497
12,-6.1023
13,-3.1303
14,-6.2824
15,-3.1870
16,-5.8928
17,-4.2658
18,-5.4158
19,-2.4632
20,-4.2752